Entry from Alexandria via LeMat-Bulk: crystalline AcMo2C2 at its relaxed geometry (PBE-GGA).

a = 6.6919 Å, b = 5.9619 Å, c = 5.8587 Å
α = 68.95°, β = 56.25°, γ = 54.79°
Fractional coordinates of all 10 atoms:
Ac  0.1250  0.1250  0.1250
Ac  0.8750  0.8750  0.8750
Mo  0.2364  0.2364  0.5136
Mo  0.4864  0.4864  0.7636
Mo  0.5136  0.5136  0.2364
Mo  0.7636  0.7636  0.4864
C  0.1826  0.5674  0.1826
C  0.4326  0.8174  0.4326
C  0.5674  0.1826  0.5674
C  0.8174  0.4326  0.8174

Results
calculated formation energy = 38 kJ/mol of formula units
final energy = -87.6 eV/cell
SG = No. 70
magnetization = 0.00 μB per formula unit

=====

Entry from Alexandria via LeMat-Bulk: crystalline AcPa2MoC4 at its relaxed geometry (PBE-GGA).

a = 6.4637 Å, b = 6.4637 Å, c = 12.3117 Å
α = 90.00°, β = 90.00°, γ = 146.99°
Fractional coordinates of all 16 atoms:
Ac  0.0985  0.9015  0.7500
Ac  0.9015  0.0985  0.2500
Pa  0.3691  0.6309  0.5443
Pa  0.3691  0.6309  0.9557
Pa  0.6309  0.3691  0.0443
Pa  0.6309  0.3691  0.4557
Mo  0.1641  0.8359  0.2500
Mo  0.8359  0.1641  0.7500
C  0.0000  0.0000  0.0000
C  0.0000  0.0000  0.5000
C  0.2532  0.7468  0.1151
C  0.2532  0.7468  0.3849
C  0.4135  0.5865  0.7500
C  0.5865  0.4135  0.2500
C  0.7468  0.2532  0.6151
C  0.7468  0.2532  0.8849

Results
calculated formation energy = -89 kJ/mol of formula units
final energy = -143.5 eV/cell
SG = No. 63
magnetization = 0.00 μB per formula unit

=====

Entry from Alexandria via LeMat-Bulk: crystalline AcSi2Mo2C at its relaxed geometry (PBE-GGA).

a = 4.2791 Å, b = 4.2791 Å, c = 5.6109 Å
α = 90.00°, β = 90.00°, γ = 90.00°
Fractional coordinates of all 6 atoms:
Ac  0.0000  0.0000  0.0000
Si  0.5000  0.5000  0.2300
Si  0.5000  0.5000  0.7700
Mo  0.0000  0.5000  0.5000
Mo  0.5000  0.0000  0.5000
C  0.0000  0.0000  0.5000

Results
final energy = -48.3 eV/cell
SG = No. 123
magnetization = 0.00 μB per formula unit